Compound: DyScTlPb
Source: Alexandria
Functional: GGA-PBE
Structure: optimized geometry

a = 7.477 Å, b = 7.477 Å, c = 7.477 Å
α = 90.00°, β = 90.00°, γ = 90.00°
Space group F-43m (No. 216)
Asymmetric unit:
Dy1 0.000 0.000 0.000
Sc1 0.000 0.000 0.500
Tl1 0.250 0.250 0.750
Pb1 0.250 0.250 0.250

Properties
Energy of formation: -292 meV/atom
Total magnetic moment: 0.000 μB per atom

---

Compound: AlP2PbO8
Source: Alexandria
Functional: GGA-PBE
Structure: optimized geometry

a = 5.0962 Å, b = 5.0962 Å, c = 7.0520 Å
α = 90.00°, β = 90.00°, γ = 120.00°
Space group P-3 (No. 147)
Asymmetric unit:
Al1 0.0000 0.0000 0.0000
P1 0.3333 0.6667 0.2331
Pb1 0.0000 0.0000 0.5000
O1 0.1618 0.8258 0.1633
O2 0.3333 0.6667 0.4517

Properties
Total magnetic moment: 0.056 μB per atom
Raw formation energy: -2.134 eV per atom

---

Compound: SrMgCuPd
Source: Alexandria
Functional: GGA-PBE
Structure: optimized geometry

a = 4.5344 Å, b = 4.5344 Å, c = 15.8926 Å
α = 90.00°, β = 90.00°, γ = 120.00°
Space group R3m (No. 160, hexagonal axes)
Asymmetric unit:
Sr1 0.0000 0.0000 0.0000
Mg1 0.0000 0.0000 0.4971
Cu1 0.0000 0.0000 0.1948
Pd1 0.0000 0.0000 0.8038

Properties
Energy of formation: -380 meV/atom
Total magnetic moment: 0.000 μB per atom

---

> Which of these has the highest total magnetic moment?

AlP2PbO8

---

> Which of these has the highest total magnetic moment?

AlP2PbO8